(1)
A relaxed TbTePd crystal, computed with PBE-GGA.

Properties
SG ... P3m1
Fermi-level density of states ... 1.980 states/eV/cell
VASP energy ... -5.329 eV/atom
Crystal system ... trigonal
Magnetization ... 0.0 Bohr magnetons per cell
Uncorrected formation energy ... -1.01 eV per atom

Geometry as POSCAR:
```
TbTePd
1.0
4.533 0.000 0.000
-2.266 3.925 0.000
0.000 0.000 3.937
Tb Te Pd
1 1 1
direct
0.000 0.000 0.000
0.667 0.333 0.511
0.333 0.667 0.463
```

(2)
A relaxed AcNd2Ir2 crystal, computed with PBE-GGA.

Properties
Energy above the most stable polymorph in this dataset ... 0 meV/atom
SG ... P2_1/m
Fermi-level density of states ... 5.118 states/eV/cell
VASP energy ... -6.872 eV/atom
Crystal system ... monoclinic
Magnetization ... 0.0 Bohr magnetons per cell

Geometry as POSCAR:
```
AcNd2Ir2
1.0
5.856 0.000 0.000
0.000 4.513 0.000
-1.529 0.000 10.907
Ac Nd Ir
2 4 4
direct
0.052 0.250 0.288
0.948 0.750 0.712
0.270 0.750 0.031
0.385 0.250 0.612
0.615 0.750 0.388
0.730 0.250 0.969
0.164 0.750 0.471
0.201 0.250 0.867
0.799 0.750 0.133
0.836 0.250 0.529
```

(3)
A relaxed CaAc crystal, computed with PBE-GGA.

Properties
Energy above the most stable polymorph in this dataset ... 0 meV/atom
SG ... C2/m
Fermi-level density of states ... 11.524 states/eV/cell
VASP energy ... -3.037 eV/atom
Crystal system ... monoclinic
Magnetization ... 0.0 Bohr magnetons per cell

Geometry as POSCAR:
```
CaAc
1.0
6.828 0.000 0.000
0.000 3.945 0.000
-2.238 0.000 13.036
Ca Ac
4 4
direct
0.126 0.000 0.376
0.374 0.500 0.624
0.626 0.500 0.376
0.874 0.000 0.624
0.206 0.500 0.121
0.294 0.000 0.879
0.706 0.000 0.121
0.794 0.500 0.879
```

(4)
A relaxed GaRhO2F crystal, computed with PBE-GGA.

Properties
SG ... P4/mmm
Fermi-level density of states ... 3.117 states/eV/cell
VASP energy ... -5.118 eV/atom
Crystal system ... tetragonal
Magnetization ... 1.8 Bohr magnetons per cell
Uncorrected formation energy ... -0.69 eV per atom

Geometry as POSCAR:
```
GaRhO2F
1.0
3.887 0.000 0.000
0.000 3.887 0.000
0.000 0.000 4.542
Ga Rh O F
1 1 2 1
direct
0.000 0.000 0.000
0.500 0.500 0.500
0.000 0.500 0.500
0.500 0.000 0.500
0.500 0.500 0.000
```

(5)
A relaxed MgSeN2 crystal, computed with PBE-GGA.

Properties
Energy above the most stable polymorph in this dataset ... 0 meV/atom
SG ... I-42d
Fermi-level density of states ... 2.221 states/eV/cell
VASP energy ... -4.929 eV/atom
Crystal system ... tetragonal
Magnetization ... 0.0 Bohr magnetons per cell
Uncorrected formation energy ... 0.50 eV per atom

Geometry as POSCAR:
```
MgSeN2
1.0
4.682 0.000 0.000
0.000 4.682 0.000
0.000 0.000 10.282
Mg Se N
4 4 8
direct
0.000 0.000 0.000
0.000 0.500 0.250
0.500 0.000 0.750
0.500 0.500 0.500
0.000 0.000 0.500
0.000 0.500 0.750
0.500 0.000 0.250
0.500 0.500 0.000
0.235 0.250 0.625
0.250 0.735 0.875
0.250 0.765 0.375
0.265 0.250 0.125
0.735 0.750 0.125
0.750 0.235 0.375
0.750 0.265 0.875
0.765 0.750 0.625
```

(6)
A relaxed ErSbH crystal, computed with PBE-GGA.

Properties
Energy above the most stable polymorph in this dataset ... 0 meV/atom
SG ... P-6m2
Fermi-level density of states ... 1.518 states/eV/cell
VASP energy ... -4.730 eV/atom
Crystal system ... hexagonal
Magnetization ... 0.0 Bohr magnetons per cell

Geometry as POSCAR:
```
ErSbH
1.0
3.718 0.000 0.000
-1.859 3.220 0.000
0.000 0.000 4.668
Er Sb H
1 1 1
direct
0.000 0.000 0.000
0.333 0.667 0.500
0.667 0.333 0.000
```

(7)
A relaxed PmLuThSn crystal, computed with PBE-GGA.

Properties
SG ... F-43m
Fermi-level density of states ... 12.063 states/eV/cell
VASP energy ... -5.334 eV/atom
Crystal system ... cubic
Magnetization ... 0.0 Bohr magnetons per cell

Geometry as POSCAR:
```
PmLuThSn
1.0
7.785 0.000 0.000
0.000 7.785 0.000
0.000 0.000 7.785
Pm Lu Th Sn
4 4 4 4
direct
0.000 0.000 0.000
0.000 0.500 0.500
0.500 0.000 0.500
0.500 0.500 0.000
0.250 0.250 0.250
0.250 0.750 0.750
0.750 0.250 0.750
0.750 0.750 0.250
0.000 0.000 0.500
0.000 0.500 0.000
0.500 0.000 0.000
0.500 0.500 0.500
0.250 0.250 0.750
0.250 0.750 0.250
0.750 0.250 0.250
0.750 0.750 0.750
```

(8)
A relaxed Ba5AlO6 crystal, computed with PBE-GGA.

Properties
SG ... C2/m
Fermi-level density of states ... 2.982 states/eV/cell
VASP energy ... -5.851 eV/atom
Crystal system ... monoclinic
Magnetization ... 0.3 Bohr magnetons per cell
Uncorrected formation energy ... -2.26 eV per atom

Geometry as POSCAR:
```
Ba5AlO6
1.0
3.327 -5.674 0.000
3.327 5.674 0.000
-2.278 0.000 6.185
Ba Al O
5 1 6
direct
0.000 0.000 0.000
0.167 0.833 0.500
0.342 0.658 0.000
0.658 0.342 0.000
0.833 0.167 0.500
0.500 0.500 0.500
0.196 0.441 0.317
0.262 0.262 0.757
0.441 0.196 0.317
0.559 0.804 0.683
0.738 0.738 0.243
0.804 0.559 0.683
```